This record from the Alexandria database describes a relaxed structure of NaCoIrO4. The functional is PBE+U.

Results
As for the total energy: -84.2 eV per cell. The density of states at the Fermi level comes out at 6.415 states/eV/cell. The magnetization is 1.0 μB per formula unit. The symmetry is Imma (74). The density comes out at 6.92 g/cm3.

Unit cell a=6.1144 b=6.1144 c=6.1144 alpha=121.95 beta=117.20 gamma=90.78
With the nearest neighbours (Å) after each atom.
Sites, in units of the cell vectors:
Na1 0.3875 0.1375 0.2500  4 O 2.19-2.21
Na2 0.6125 0.8625 0.7500  4 O 2.19-2.21
Co1 0.0000 0.0000 0.5000  6 O 1.96
Co2 0.0000 0.5000 0.0000  6 O 1.96
Ir1 0.0000 0.5000 0.5000  6 O 2.03-2.04
Ir2 0.5000 0.5000 0.0000  6 O 2.03-2.04
O1 0.1832 0.7335 0.4498  2 Co 1.96, 1 Ir 2.03
O2 0.2163 0.2665 0.9498  2 Co 1.96, 1 Ir 2.03
O3 0.2273 0.2647 0.5374  1 Co 1.96, 2 Ir 2.04, 1 Na 2.19
O4 0.2273 0.6899 0.9626  1 Co 1.96, 2 Ir 2.04, 1 Na 2.19
O5 0.7727 0.3101 0.0374  1 Co 1.96, 2 Ir 2.04, 1 Na 2.19
O6 0.7727 0.7353 0.4626  1 Co 1.96, 2 Ir 2.04, 1 Na 2.19
O7 0.7837 0.7335 0.0502  2 Co 1.96, 1 Ir 2.03
O8 0.8168 0.2665 0.5502  2 Co 1.96, 1 Ir 2.03